Compound: InRh2Br
Source: the Alexandria database
Functional: PBE-GGA
Structure: optimized geometry

Unit cell a=4.6358 b=4.6358 c=5.4138 alpha=76.16 beta=76.16 gamma=39.74
Closest atoms and distances in Å follow each position.
Fractional coordinates of all 4 atoms:
Rh: 0.9997 0.9997 0.0117  3 In 2.73-2.80, 3 Br 2.77-2.88, 2 Rh 3.02
Rh: 0.5003 0.5003 0.4883  3 In 2.73-2.80, 3 Br 2.77-2.88, 2 Rh 3.02
Br: 0.7500 0.7500 0.7500  6 Rh 2.77-2.88
In: 0.2500 0.2500 0.2500  6 Rh 2.73-2.80

Summary:
As for the formation energy from raw total energies: 0.20 eV/atom. The density of states at the Fermi level comes out at 1.233 states/eV per atom. For the total moment, the calculation gives 0.0 μB per cell. The value obtained for the total energy is -4.5799 eV/atom.